[1]
# Be3CrMo | the Alexandria database | GGA-PBE | relaxed
data_Be3CrMo
_chemical_formula_sum 'Be3 Cr1 Mo1'
_space_group_name_H-M_alt 'P m -3 m'
_space_group_IT_number 221
_space_group_name_Hall '-P 4 2 3'
_cell_length_a 3.881
_cell_length_b 3.881
_cell_length_c 3.881
_cell_angle_alpha 90.00
_cell_angle_beta 90.00
_cell_angle_gamma 90.00
loop_
_atom_site_label
_atom_site_type_symbol
_atom_site_fract_x
_atom_site_fract_y
_atom_site_fract_z
Be1 Be 0.000 0.000 0.500
Cr1 Cr 0.000 0.000 0.000
Mo1 Mo 0.500 0.500 0.500
# Excess energy over the best structure of this formula in the dataset ... 0 meV per atom
# ρ ... 4.97 g/cm³
# E_form ... 1089 meV/atom

=====

[2]
# Be2CrMo | the Alexandria database | GGA-PBE | relaxed
data_Be2CrMo
_chemical_formula_sum 'Be2 Cr1 Mo1'
_space_group_name_H-M_alt 'P 4 m m'
_space_group_IT_number 99
_space_group_name_Hall 'P 4 -2'
_cell_length_a 2.573
_cell_length_b 2.573
_cell_length_c 6.710
_cell_angle_alpha 90.00
_cell_angle_beta 90.00
_cell_angle_gamma 90.00
loop_
_atom_site_label
_atom_site_type_symbol
_atom_site_fract_x
_atom_site_fract_y
_atom_site_fract_z
Be1 Be 0.000 0.000 0.000
Be2 Be 0.500 0.500 0.174
Cr1 Cr 0.000 0.000 0.406
Mo1 Mo 0.500 0.500 0.735
# Excess energy over the best structure of this formula in the dataset ... 218 meV per atom
# ρ ... 6.21 g/cm³
# E_form ... 139 meV/atom

=====

[3]
# Be2CrMo | the Alexandria database | GGA-PBE | relaxed
data_Be2CrMo
_chemical_formula_sum 'Be2 Cr1 Mo1'
_space_group_name_H-M_alt 'P 4/m m m'
_space_group_IT_number 123
_space_group_name_Hall '-P 4 2'
_cell_length_a 2.568
_cell_length_b 2.568
_cell_length_c 6.795
_cell_angle_alpha 90.00
_cell_angle_beta 90.00
_cell_angle_gamma 90.00
loop_
_atom_site_label
_atom_site_type_symbol
_atom_site_fract_x
_atom_site_fract_y
_atom_site_fract_z
Be1 Be 0.000 0.000 0.236
Cr1 Cr 0.500 0.500 0.000
Mo1 Mo 0.500 0.500 0.500
# Excess energy over the best structure of this formula in the dataset ... 208 meV per atom
# ρ ... 6.15 g/cm³
# E_form ... 129 meV/atom

=====

[4]
# BeCrMo3 | the Alexandria database | GGA-PBE | relaxed
data_BeCrMo3
_chemical_formula_sum 'Be1 Cr1 Mo3'
_space_group_name_H-M_alt 'P m -3 m'
_space_group_IT_number 221
_space_group_name_Hall '-P 4 2 3'
_cell_length_a 4.191
_cell_length_b 4.191
_cell_length_c 4.191
_cell_angle_alpha 90.00
_cell_angle_beta 90.00
_cell_angle_gamma 90.00
loop_
_atom_site_label
_atom_site_type_symbol
_atom_site_fract_x
_atom_site_fract_y
_atom_site_fract_z
Be1 Be 0.000 0.000 0.000
Cr1 Cr 0.500 0.500 0.500
Mo1 Mo 0.000 0.000 0.500
# Excess energy over the best structure of this formula in the dataset ... 0 meV per atom
# ρ ... 7.87 g/cm³
# E_form ... 937 meV/atom

=====

[5]
# BeCrMo2 | the Alexandria database | GGA-PBE | relaxed
data_BeCrMo2
_chemical_formula_sum 'Be2 Cr2 Mo4'
_space_group_name_H-M_alt 'C 1 2/m 1'
_space_group_IT_number 12
_space_group_name_Hall '-C 2y'
_cell_length_a 5.268
_cell_length_b 8.159
_cell_length_c 2.616
_cell_angle_alpha 90.00
_cell_angle_beta 107.61
_cell_angle_gamma 90.00
loop_
_atom_site_label
_atom_site_type_symbol
_atom_site_fract_x
_atom_site_fract_y
_atom_site_fract_z
Be1 Be 0.000 0.000 0.000
Cr1 Cr 0.000 0.500 0.000
Mo1 Mo 0.250 0.250 0.500
# ρ ... 7.84 g/cm³
# E_form ... 171 meV/atom

=====

[6]
# Be4CrMo | the Alexandria database | GGA-PBE | relaxed
data_Be4CrMo
_chemical_formula_sum 'Be16 Cr4 Mo4'
_space_group_name_H-M_alt 'F -4 3 m'
_space_group_IT_number 216
_space_group_name_Hall 'F -4 2 3'
_cell_length_a 6.135
_cell_length_b 6.135
_cell_length_c 6.135
_cell_angle_alpha 90.00
_cell_angle_beta 90.00
_cell_angle_gamma 90.00
loop_
_atom_site_label
_atom_site_type_symbol
_atom_site_fract_x
_atom_site_fract_y
_atom_site_fract_z
Be1 Be 0.125 0.125 0.125
Cr1 Cr 0.250 0.250 0.750
Mo1 Mo 0.000 0.000 0.500
# Excess energy over the best structure of this formula in the dataset ... 0 meV per atom
# ρ ... 5.29 g/cm³
# E_form ... -268 meV/atom

=====

[7]
# Be2Cr2Mo | the Alexandria database | GGA-PBE | relaxed
data_Be2Cr2Mo
_chemical_formula_sum 'Be4 Cr4 Mo2'
_space_group_name_H-M_alt 'P 4/m b m'
_space_group_IT_number 127
_space_group_name_Hall '-P 4 2ab'
_cell_length_a 6.052
_cell_length_b 6.052
_cell_length_c 2.986
_cell_angle_alpha 90.00
_cell_angle_beta 90.00
_cell_angle_gamma 90.00
loop_
_atom_site_label
_atom_site_type_symbol
_atom_site_fract_x
_atom_site_fract_y
_atom_site_fract_z
Be1 Be 0.118 0.382 0.000
Cr1 Cr 0.176 0.676 0.500
Mo1 Mo 0.000 0.000 0.000
# Excess energy over the best structure of this formula in the dataset ... 0 meV per atom
# ρ ... 6.62 g/cm³
# E_form ... -9 meV/atom

=====

[8]
# BeCr3Mo | the Alexandria database | GGA-PBE | relaxed
data_BeCr3Mo
_chemical_formula_sum 'Be1 Cr3 Mo1'
_space_group_name_H-M_alt 'P m -3 m'
_space_group_IT_number 221
_space_group_name_Hall '-P 4 2 3'
_cell_length_a 4.612
_cell_length_b 4.612
_cell_length_c 4.612
_cell_angle_alpha 90.00
_cell_angle_beta 90.00
_cell_angle_gamma 90.00
loop_
_atom_site_label
_atom_site_type_symbol
_atom_site_fract_x
_atom_site_fract_y
_atom_site_fract_z
Be1 Be 0.000 0.000 0.000
Cr1 Cr 0.000 0.500 0.500
Mo1 Mo 0.500 0.500 0.500
# Excess energy over the best structure of this formula in the dataset ... 942 meV per atom
# ρ ... 4.42 g/cm³
# E_form ... 1741 meV/atom

=====

Q: What is the formula in the sixth record?
A: Be4CrMo

=====

Q: Which of these has the highest E_form?
A: BeCr3Mo

=====

Q: E_form of number 2 (Be2CrMo)?
A: 139 meV/atom